Entry 1:
Density functional theory data (PBE) for a geometry-optimized HfCo3H structure.

Structure (POSCAR):
```
HfCo3H
1.0
2.665 1.539 4.321
-2.665 1.539 4.321
0.000 -3.078 4.321
Hf Co H
2 6 2
Direct
0.248 0.248 0.248
0.752 0.752 0.752
0.261 0.261 0.731
0.261 0.731 0.261
0.269 0.739 0.739
0.731 0.261 0.261
0.739 0.269 0.739
0.739 0.739 0.269
0.077 0.077 0.077
0.923 0.923 0.923
```

Total energy, eV/atom: -7.1497
ΔE to the lowest computed polymorph, kcal/mol of atoms: 0.99
Density of states at the Fermi level, states/eV per cell: 10.0

Entry 2:
Density functional theory data (PBE) for a geometry-optimized Hf6Co3H structure.

Structure (POSCAR):
```
Hf6Co3H
1.0
5.686 0.000 0.000
0.000 6.683 0.000
-5.664 0.000 8.815
Hf Co H
12 6 2
Direct
0.081 0.058 0.254
0.081 0.442 0.754
0.219 0.658 0.058
0.219 0.842 0.558
0.419 0.203 0.068
0.419 0.297 0.568
0.581 0.703 0.432
0.581 0.797 0.932
0.781 0.158 0.442
0.781 0.342 0.942
0.919 0.558 0.246
0.919 0.942 0.746
0.000 0.000 0.000
0.000 0.500 0.500
0.359 0.111 0.777
0.359 0.389 0.277
0.641 0.611 0.723
0.641 0.889 0.223
0.500 0.000 0.500
0.500 0.500 0.000
```

Total energy, eV/atom: -8.6506
Density of states at the Fermi level, states/eV per cell: 20.9

Entry 3:
Density functional theory data (PBE) for a geometry-optimized HfCo2H2 structure.

Structure (POSCAR):
```
HfCo2H2
1.0
-1.661 1.661 4.120
1.661 -1.661 4.120
1.661 1.661 -4.120
Hf Co H
1 2 2
Direct
0.000 0.000 0.000
0.338 0.338 0.000
0.662 0.662 0.000
0.250 0.750 0.500
0.750 0.250 0.500
```

Total energy, eV/atom: -6.3587
ΔE to the lowest computed polymorph, kcal/mol of atoms: 0.00
Density of states at the Fermi level, states/eV per cell: 7.8

Entry 4:
Density functional theory data (PBE) for a geometry-optimized HfCo3H structure.

Structure (POSCAR):
```
HfCo3H
1.0
2.326 1.343 6.331
-2.326 1.343 6.331
0.000 -2.686 6.331
Hf Co H
2 6 2
Direct
0.155 0.155 0.155
0.845 0.845 0.845
0.050 0.399 0.713
0.287 0.950 0.601
0.399 0.713 0.050
0.601 0.287 0.950
0.713 0.050 0.399
0.950 0.601 0.287
0.335 0.335 0.335
0.665 0.665 0.665
```

Total energy, eV/atom: -6.6248
ΔE to the lowest computed polymorph, kcal/mol of atoms: 13.09
Density of states at the Fermi level, states/eV per cell: 14.3

Entry 5:
Density functional theory data (PBE) for a geometry-optimized HfCo3H structure.

Structure (POSCAR):
```
HfCo3H
1.0
-2.022 2.022 9.242
2.022 -2.022 9.242
2.022 2.022 -9.242
Hf Co H
2 6 2
Direct
0.000 0.000 0.000
0.750 0.250 0.500
0.375 0.128 0.247
0.434 0.434 0.000
0.566 0.566 0.000
0.872 0.119 0.247
0.872 0.625 0.753
0.881 0.128 0.753
0.058 0.558 0.500
0.442 0.942 0.500
```

Total energy, eV/atom: -6.1845
ΔE to the lowest computed polymorph, kcal/mol of atoms: 23.25
Density of states at the Fermi level, states/eV per cell: 7.7

Entry 6:
Density functional theory data (PBE) for a geometry-optimized HfCo3H structure.

Structure (POSCAR):
```
HfCo3H
1.0
5.193 0.000 0.000
0.000 3.880 0.000
-0.003 0.000 5.198
Hf Co H
2 6 2
Direct
0.000 0.000 0.000
0.495 0.000 0.500
0.245 0.500 0.251
0.245 0.500 0.749
0.499 0.000 0.000
0.753 0.500 0.250
0.753 0.500 0.751
0.998 0.000 0.500
0.499 0.500 0.000
0.525 0.500 0.498
```

Total energy, eV/atom: -7.1477
ΔE to the lowest computed polymorph, kcal/mol of atoms: 1.04
Density of states at the Fermi level, states/eV per cell: 8.2

Entry 7:
Density functional theory data (PBE) for a geometry-optimized HfCoH3 structure.

Structure (POSCAR):
```
HfCoH3
1.0
4.101 0.000 0.000
0.000 5.389 0.000
-1.892 0.000 3.704
Hf Co H
2 2 6
Direct
0.170 0.250 0.346
0.830 0.750 0.654
0.500 0.000 0.000
0.500 0.500 0.000
0.092 0.077 0.773
0.092 0.423 0.773
0.357 0.750 0.149
0.643 0.250 0.851
0.908 0.577 0.227
0.908 0.923 0.227
```

Total energy, eV/atom: -5.6801
Density of states at the Fermi level, states/eV per cell: 3.6

Entry 8:
Density functional theory data (PBE) for a geometry-optimized HfCo3H structure.

Structure (POSCAR):
```
HfCo3H
1.0
2.974 0.000 0.000
-1.487 2.575 0.000
0.000 0.000 15.445
Hf Co H
2 6 2
Direct
0.000 0.000 0.000
0.000 0.000 0.500
0.000 0.000 0.250
0.000 0.000 0.750
0.333 0.667 0.129
0.333 0.667 0.371
0.667 0.333 0.629
0.667 0.333 0.871
0.333 0.667 0.250
0.667 0.333 0.750
```

Total energy, eV/atom: -6.7115
ΔE to the lowest computed polymorph, kcal/mol of atoms: 11.10
Density of states at the Fermi level, states/eV per cell: 14.3

Entry 9:
Density functional theory data (PBE) for a geometry-optimized Hf2CoH2 structure.

Structure (POSCAR):
```
Hf2CoH2
1.0
3.103 0.000 0.000
0.000 3.103 0.000
0.000 0.000 6.196
Hf Co H
2 1 2
Direct
0.000 0.000 0.247
0.000 0.000 0.753
0.500 0.500 0.500
0.000 0.500 0.000
0.500 0.000 0.000
```

Total energy, eV/atom: -7.0428
ΔE to the lowest computed polymorph, kcal/mol of atoms: 3.53
Density of states at the Fermi level, states/eV per cell: 3.5

Entry 10:
Density functional theory data (PBE) for a geometry-optimized HfCo3H structure.

Structure (POSCAR):
```
HfCo3H
1.0
-2.607 2.609 3.842
2.607 -2.609 3.842
2.607 2.609 -3.842
Hf Co H
2 6 2
Direct
0.000 0.000 0.000
0.466 0.466 0.000
0.482 0.982 0.500
0.486 0.490 0.510
0.486 0.976 0.995
0.981 0.490 0.005
0.981 0.976 0.490
0.985 0.485 0.500
0.732 0.232 0.500
0.733 0.733 0.000
```

Total energy, eV/atom: -7.1652
ΔE to the lowest computed polymorph, kcal/mol of atoms: 0.63
Density of states at the Fermi level, states/eV per cell: 8.0

Entry 11:
Density functional theory data (PBE) for a geometry-optimized HfCo3H3 structure.

Structure (POSCAR):
```
HfCo3H3
1.0
4.910 0.000 0.000
0.000 4.910 0.000
0.000 0.000 4.910
Hf Co H
2 6 6
Direct
0.000 0.000 0.000
0.500 0.500 0.500
0.000 0.250 0.500
0.000 0.750 0.500
0.250 0.500 0.000
0.500 0.000 0.250
0.500 0.000 0.750
0.750 0.500 0.000
0.000 0.500 0.250
0.000 0.500 0.750
0.250 0.000 0.500
0.500 0.250 0.000
0.500 0.750 0.000
0.750 0.000 0.500
```

Total energy, eV/atom: -6.0345
ΔE to the lowest computed polymorph, kcal/mol of atoms: 0.00
Density of states at the Fermi level, states/eV per cell: 9.5

Entry 12:
Density functional theory data (PBE) for a geometry-optimized Hf2CoH2 structure.

Structure (POSCAR):
```
Hf2CoH2
1.0
-1.564 1.564 5.924
1.564 -1.564 5.924
1.564 1.564 -5.924
Hf Co H
2 1 2
Direct
0.135 0.135 0.000
0.865 0.865 0.000
0.500 0.500 0.000
0.250 0.750 0.500
0.750 0.250 0.500
```

Total energy, eV/atom: -7.1959
ΔE to the lowest computed polymorph, kcal/mol of atoms: 0.00
Density of states at the Fermi level, states/eV per cell: 2.5

Entry 13:
Density functional theory data (PBE) for a geometry-optimized HfCo3H structure.

Structure (POSCAR):
```
HfCo3H
1.0
5.564 -4.986 0.000
5.564 4.986 0.000
-1.601 0.000 3.969
Hf Co H
4 12 4
Direct
0.020 0.347 0.188
0.347 0.020 0.688
0.653 0.980 0.312
0.980 0.653 0.812
0.004 0.841 0.420
0.159 0.996 0.080
0.276 0.398 0.831
0.276 0.607 0.441
0.393 0.724 0.059
0.398 0.276 0.331
0.602 0.724 0.669
0.607 0.276 0.941
0.724 0.393 0.559
0.724 0.602 0.169
0.841 0.004 0.920
0.996 0.159 0.580
0.205 0.795 0.250
0.456 0.544 0.750
0.544 0.456 0.250
0.795 0.205 0.750
```

Total energy, eV/atom: -7.0169
ΔE to the lowest computed polymorph, kcal/mol of atoms: 4.05
Density of states at the Fermi level, states/eV per cell: 21.6

Entry 14:
Density functional theory data (PBE) for a geometry-optimized HfCo3H structure.

Structure (POSCAR):
```
HfCo3H
1.0
3.406 1.966 2.781
-3.406 1.966 2.781
0.000 -3.933 2.781
Hf Co H
2 6 2
Direct
0.000 0.000 0.000
0.500 0.500 0.500
0.007 0.750 0.493
0.250 0.507 0.993
0.493 0.007 0.750
0.507 0.993 0.250
0.750 0.493 0.007
0.993 0.250 0.507
0.250 0.250 0.250
0.750 0.750 0.750
```

Total energy, eV/atom: -7.0096
ΔE to the lowest computed polymorph, kcal/mol of atoms: 4.22
Density of states at the Fermi level, states/eV per cell: 12.0

Entry 15:
Density functional theory data (PBE) for a geometry-optimized HfCo2H2 structure.

Structure (POSCAR):
```
HfCo2H2
1.0
5.611 0.000 0.000
0.000 5.611 0.000
0.000 0.000 2.980
Hf Co H
2 4 4
Direct
0.000 0.000 0.000
0.500 0.500 0.000
0.144 0.356 0.500
0.356 0.856 0.500
0.644 0.144 0.500
0.856 0.644 0.500
0.116 0.616 0.000
0.384 0.116 0.000
0.616 0.884 0.000
0.884 0.384 0.000
```

Total energy, eV/atom: -6.0386
ΔE to the lowest computed polymorph, kcal/mol of atoms: 7.38
Density of states at the Fermi level, states/eV per cell: 0.5

Entry 16:
Density functional theory data (PBE) for a geometry-optimized HfCo3H structure.

Structure (POSCAR):
```
HfCo3H
1.0
5.942 -3.692 0.000
5.942 3.692 0.000
-1.123 0.000 5.137
Hf Co H
4 12 4
Direct
0.090 0.910 0.750
0.357 0.643 0.250
0.643 0.357 0.750
0.910 0.090 0.250
0.007 0.342 0.073
0.015 0.348 0.602
0.313 0.322 0.406
0.322 0.313 0.906
0.342 0.007 0.573
0.348 0.015 0.102
0.652 0.985 0.898
0.658 0.993 0.427
0.678 0.687 0.094
0.687 0.678 0.594
0.985 0.652 0.398
0.993 0.658 0.927
0.258 0.566 0.856
0.434 0.742 0.644
0.566 0.258 0.356
0.742 0.434 0.144
```

Total energy, eV/atom: -6.9943
ΔE to the lowest computed polymorph, kcal/mol of atoms: 4.57
Density of states at the Fermi level, states/eV per cell: 12.9

Entry 17:
Density functional theory data (PBE) for a geometry-optimized HfCo3H structure.

Structure (POSCAR):
```
HfCo3H
1.0
4.235 0.000 0.000
-2.117 3.667 0.000
0.000 0.000 7.407
Hf Co H
2 6 2
Direct
0.333 0.667 0.250
0.667 0.333 0.750
0.000 0.000 0.250
0.000 0.000 0.750
0.333 0.667 0.585
0.333 0.667 0.915
0.667 0.333 0.085
0.667 0.333 0.415
0.000 0.000 0.000
0.000 0.000 0.500
```

Total energy, eV/atom: -6.5805
ΔE to the lowest computed polymorph, kcal/mol of atoms: 14.12
Density of states at the Fermi level, states/eV per cell: 17.8

Entry 18:
Density functional theory data (PBE) for a geometry-optimized HfCo3H structure.

Structure (POSCAR):
```
HfCo3H
1.0
2.317 -6.698 0.000
2.317 6.698 0.000
0.000 0.000 4.482
Hf Co H
2 6 2
Direct
0.195 0.805 0.750
0.805 0.195 0.250
0.000 0.000 0.000
0.000 0.000 0.500
0.124 0.386 0.750
0.386 0.124 0.250
0.614 0.876 0.750
0.876 0.614 0.250
0.456 0.544 0.750
0.544 0.456 0.250
```

Total energy, eV/atom: -6.6088
ΔE to the lowest computed polymorph, kcal/mol of atoms: 13.46
Density of states at the Fermi level, states/eV per cell: 9.4

Entry 19:
Density functional theory data (PBE) for a geometry-optimized HfCo3H structure.

Structure (POSCAR):
```
HfCo3H
1.0
4.857 0.000 0.000
0.000 6.564 0.000
0.000 0.000 7.066
Hf Co H
4 12 4
Direct
0.000 0.000 0.000
0.000 0.500 0.000
0.500 0.000 0.500
0.500 0.500 0.500
0.018 0.082 0.352
0.018 0.418 0.352
0.220 0.250 0.727
0.280 0.750 0.227
0.482 0.582 0.852
0.482 0.918 0.852
0.518 0.082 0.148
0.518 0.418 0.148
0.720 0.250 0.773
0.780 0.750 0.273
0.982 0.582 0.648
0.982 0.918 0.648
0.070 0.750 0.425
0.430 0.250 0.925
0.570 0.750 0.075
0.930 0.250 0.575
```

Total energy, eV/atom: -6.9058
ΔE to the lowest computed polymorph, kcal/mol of atoms: 6.61
Density of states at the Fermi level, states/eV per cell: 17.0

Entry 20:
Density functional theory data (PBE) for a geometry-optimized HfCo3H structure.

Structure (POSCAR):
```
HfCo3H
1.0
6.462 0.000 0.000
0.000 5.029 0.000
-4.782 0.000 6.795
Hf Co H
4 12 4
Direct
0.197 0.099 0.317
0.197 0.401 0.817
0.803 0.599 0.183
0.803 0.901 0.683
0.095 0.710 0.061
0.095 0.790 0.561
0.302 0.595 0.416
0.302 0.905 0.916
0.443 0.157 0.703
0.443 0.343 0.203
0.557 0.657 0.797
0.557 0.843 0.297
0.698 0.095 0.084
0.698 0.405 0.584
0.905 0.210 0.439
0.905 0.290 0.939
0.391 0.643 0.089
0.391 0.857 0.589
0.609 0.143 0.411
0.609 0.357 0.911
```

Total energy, eV/atom: -7.0157
ΔE to the lowest computed polymorph, kcal/mol of atoms: 4.08
Density of states at the Fermi level, states/eV per cell: 13.6